Record 1
This record from the Alexandria database describes an optimized crystal structure of Sr2CaAlH. The functional is PBE.

The calculation puts the density at 2.9 g/cm3. Its space group is No. 123. The total energy is -13.3 eV/cell. The value obtained for the density of states at the Fermi level is 2.51 states/eV/f.u.

```
5
Lattice="5.2621 0.0000 0.0000 0.0000 5.2621 0.0000 0.0000 0.0000 5.0196" Properties=species:S:1:pos:R:3 pbc="T T T"
Sr 2.6310 0.0000 0.0000
Sr 0.0000 2.6310 0.0000
Al 2.6310 2.6310 2.5098
Ca 0.0000 0.0000 2.5098
H 0.0000 0.0000 0.0000
```

Record 2
This record from the Alexandria database describes an optimized crystal structure of Ca2AlTlH. The functional is PBE.

The calculation puts the density at 4.8 g/cm3. Its space group is No. 123. The total energy is -14.6 eV/cell. The value obtained for the density of states at the Fermi level is 1.99 states/eV/f.u.

```
5
Lattice="4.8596 0.0000 0.0000 0.0000 4.8596 0.0000 0.0000 0.0000 4.5515" Properties=species:S:1:pos:R:3 pbc="T T T"
Tl 2.4298 2.4298 2.2758
Ca 0.0000 2.4298 0.0000
Ca 2.4298 0.0000 0.0000
H 0.0000 0.0000 0.0000
Al 0.0000 0.0000 2.2758
```